Record 1
Here is an optimized crystal structure of TaSb4Au from Alexandria. Energies are from PBE-GGA.

POSCAR file:
```
TaSb4Au
1.0
-3.3842 -2.3834 4.3432
-4.4933 -3.7214 -1.3993
0.4381 -5.8458 1.2774
Sb Au Ta
4 1 1
direct
0.3752 0.3752 0.3752
0.3752 0.3752 0.8743
0.3752 0.8743 0.3752
0.8743 0.3752 0.3752
0.0000 0.0000 0.0000
0.7500 0.7500 0.7500
```

Values from the calculation:
uncorrected formation energy: 0.91 eV/atom


Record 2
Here is an optimized crystal structure of PuAlGa2 from Alexandria. Energies are from PBE-GGA.

POSCAR file:
```
PuAlGa2
1.0
4.2318 0.0000 0.0000
0.0000 4.2983 0.0000
0.0000 0.0000 4.2983
Pu Al Ga
1 1 2
direct
0.5000 0.5000 0.5000
0.5000 0.0000 0.0000
0.0000 0.0000 0.5000
0.0000 0.5000 0.0000
```

Values from the calculation:
energy of formation: -1.3 eV/f.u.


Across the entries above, size of the total moment takes the values 0.0 5.4 μB per cell, respectively.